Entry 1:
Material: InCoPb2
Method: DFT, PBE
State: optimized geometry

a b c (Å): 5.662 5.662 5.662
angles (deg): 132.41 132.41 69.58
Fractional coordinates of all 4 atoms:
In  0.000  0.000  0.000
Co  0.750  0.250  0.500
Pb  0.250  0.750  0.500
Pb  0.500  0.500  0.000

The total energy is -3.800 eV/atom. Its total moment is 1.56 Bohr magnetons per cell. The calculation puts the formation energy at 0.516 eV per atom.


Entry 2:
Material: TaMo
Method: DFT, PBE
State: optimized geometry

a b c (Å): 4.140 4.140 4.140
angles (deg): 60.00 60.00 60.00
Fractional coordinates of all 2 atoms:
Ta  0.000  0.000  0.000
Mo  0.250  0.250  0.250

The total energy is -8.893 eV/atom. Its total moment is 0.00 Bohr magnetons per cell. The calculation puts the formation energy at 2.449 eV per atom.


Entry 3:
Material: Ho2Ge4Os3
Method: DFT, PBE
State: optimized geometry

a b c (Å): 7.899 6.829 5.564
angles (deg): 78.46 57.90 43.64
Fractional coordinates of all 9 atoms:
Ho  0.130  0.130  0.870
Ho  0.870  0.870  0.130
Ge  0.175  0.507  0.493
Ge  0.493  0.825  0.175
Ge  0.507  0.175  0.825
Ge  0.825  0.493  0.507
Os  0.000  0.000  0.500
Os  0.500  0.500  0.000
Os  0.500  0.500  0.500

The total energy is -7.123 eV/atom. Its total moment is 0.00 Bohr magnetons per cell. The calculation puts the formation energy at -0.310 eV per atom.


Entry 4:
Material: AcNi3Ge
Method: DFT, PBE
State: optimized geometry

a b c (Å): 6.449 6.449 6.449
angles (deg): 132.67 94.44 104.17
Fractional coordinates of all 10 atoms:
Ac  0.296  0.046  0.250
Ac  0.704  0.954  0.750
Ni  0.098  0.348  0.750
Ni  0.219  0.000  0.719
Ni  0.219  0.500  0.219
Ni  0.781  0.000  0.281
Ni  0.781  0.500  0.781
Ni  0.902  0.652  0.250
Ge  0.000  0.500  0.500
Ge  0.500  0.500  0.000

The total energy is -5.626 eV/atom. Its total moment is 0.00 Bohr magnetons per cell. The calculation puts the formation energy at -0.412 eV per atom. The value obtained for the energy relative to the lowest polymorph listed for this composition is 0.000 eV/atom.